1.
DFT (PBE-GGA) results for crystalline BaScI at its relaxed geometry.

Results
Energy relative to the lowest polymorph listed for this composition ... 11.7 meV/atom
Formation energy from raw total energies ... -0.43 eV/atom

a b c (Å): 7.4167 4.1880 15.6606
angles (deg): 90.00 105.27 90.00
Each line ends with the local moment (μB).
Fractional positions:
Sc (0.3962, 0.5000, 0.6894)  0.60
Ba (0.6363, 0.5000, 0.0475)  0.05
Sc (0.4528, 0.0000, 0.8394)  0.47
Ba (0.8971, 0.0000, 0.3269)  0.06
Sc (0.3962, 0.0000, 0.1894)  0.60
Sc (0.4528, 0.5000, 0.3394)  0.47
Ba (0.8971, 0.5000, 0.8269)  0.06
I (0.2303, 0.0000, 0.9815)  0.00
I (0.0932, 0.5000, 0.1883)  0.00
I (0.2303, 0.5000, 0.4815)  0.00
I (0.0932, 0.0000, 0.6883)  0.00
Ba (0.6363, 0.0000, 0.5475)  0.05

=====

2.
DFT (PBE-GGA) results for crystalline BaScI2 at its relaxed geometry.

Results
Energy relative to the lowest polymorph listed for this composition ... 0.0 meV/atom
Formation energy from raw total energies ... -0.73 eV/atom

a b c (Å): 4.1419 4.1419 11.1248
angles (deg): 79.27 79.27 60.00
Fractional positions:
I (0.1115, 0.1115, 0.6655)
I (0.8885, 0.8885, 0.3345)
Ba (0.0000, 0.0000, 0.0000)
Sc (0.5000, 0.5000, 0.5000)

=====

3.
DFT (PBE-GGA) results for crystalline Ba3ScI at its relaxed geometry.

Results
Energy relative to the lowest polymorph listed for this composition ... 0.0 meV/atom
Formation energy from raw total energies ... 0.03 eV/atom

a b c (Å): 6.5842 6.5842 6.5842
angles (deg): 90.00 90.00 90.00
Each line ends with the local moment (μB).
Fractional positions:
Ba (0.0000, 0.0000, 0.5000)  0.23
Ba (0.0000, 0.5000, 0.0000)  0.18
I (0.0000, 0.0000, 0.0000)  0.02
Sc (0.5000, 0.5000, 0.5000)  0.85
Ba (0.5000, 0.0000, 0.0000)  0.16

=====

4.
DFT (PBE-GGA) results for crystalline BaSc2I at its relaxed geometry.

Results
Energy relative to the lowest polymorph listed for this composition ... 61.5 meV/atom
Formation energy from raw total energies ... 0.15 eV/atom

a b c (Å): 11.4871 11.4871 11.4871
angles (deg): 18.24 18.24 18.24
Each line ends with the local moment (μB).
Fractional positions:
I (0.5000, 0.5000, 0.5000)  0.00
Sc (0.9006, 0.9006, 0.9006)  0.57
Sc (0.0994, 0.0994, 0.0994)  0.57
Ba (0.0000, 0.0000, 0.0000)  0.24

=====

5.
DFT (PBE-GGA) results for crystalline BaScI at its relaxed geometry.

Results
Energy relative to the lowest polymorph listed for this composition ... 61.5 meV/atom
Formation energy from raw total energies ... -0.38 eV/atom

a b c (Å): 8.0464 3.8892 14.4485
angles (deg): 90.00 101.39 90.00
Each line ends with the local moment (μB).
Fractional positions:
Sc (0.6096, 0.5000, 0.2928)  0.24
Sc (0.6096, 0.0000, 0.7928)  0.24
I (0.0259, 0.5000, 0.3604)  0.00
Ba (0.3717, 0.5000, 0.5689)  0.02
I (0.0259, 0.0000, 0.8604)  0.00
Ba (0.8903, 0.0000, 0.1463)  0.00
Ba (0.3717, 0.0000, 0.0689)  0.02
Sc (0.3090, 0.0000, 0.3195)  0.07
I (0.6476, 0.5000, 0.9590)  0.00
I (0.6476, 0.0000, 0.4590)  0.00
Ba (0.8903, 0.5000, 0.6463)  0.00
Sc (0.3090, 0.5000, 0.8195)  0.07

=====

6.
DFT (PBE-GGA) results for crystalline Ba2ScI at its relaxed geometry.

Results
Energy relative to the lowest polymorph listed for this composition ... 0.0 meV/atom
Formation energy from raw total energies ... -0.03 eV/atom

a b c (Å): 9.7388 9.7388 7.9750
angles (deg): 52.37 52.37 90.00
Each line ends with the local moment (μB).
Fractional positions:
Ba (0.3750, 0.3469, 0.7500)  0.10
Ba (0.8750, 0.9031, 0.7500)  0.11
I (0.0000, 0.0000, 0.0000)  0.02
Sc (0.5000, 0.5000, 0.0000)  0.68
I (0.7500, 0.2500, 0.5000)  0.02
Sc (0.2500, 0.7500, 0.5000)  0.68
Ba (0.6531, 0.1250, 0.2500)  0.11
Ba (0.0969, 0.6250, 0.2500)  0.12

=====

no.,volume (Å³ per atom)
1,39.1
2,40.4
3,57.1
4,32.4
5,36.9
6,47.7